<A>
The following is a DFT calculation (PBE) of a relaxed structure of KNbSb2Te.

Cell lengths 5.971, 5.971, 5.287 Å; angles 90.00, 90.00, 90.00 degrees
Positions (direct):
K 0.000 0.000 0.000
Nb 0.500 0.500 0.000
Sb 0.000 0.500 0.500
Sb 0.500 0.000 0.500
Te 0.500 0.500 0.500



<B>
The following is a DFT calculation (PBE) of a relaxed structure of KNbSb2Te.

Cell lengths 5.513, 5.513, 5.669 Å; angles 90.00, 90.00, 90.00 degrees
Positions (direct):
K 0.000 0.000 0.000
Nb 0.500 0.500 0.500
Sb 0.000 0.500 0.000
Sb 0.500 0.000 0.000
Te 0.000 0.000 0.500



Winner for stability: <A>



<A>
The following is a DFT calculation (PBE) of a relaxed structure of KNbSe3.

Cell lengths 9.313, 9.313, 6.854 Å; angles 91.85, 91.85, 68.57 degrees
Positions (direct):
K 0.160 0.840 0.750
K 0.334 0.666 0.250
K 0.666 0.334 0.750
K 0.840 0.160 0.250
Nb 0.185 0.299 0.882
Nb 0.299 0.185 0.382
Nb 0.701 0.815 0.618
Nb 0.815 0.701 0.118
Se 0.008 0.595 0.836
Se 0.055 0.203 0.608
Se 0.203 0.055 0.108
Se 0.306 0.416 0.583
Se 0.405 0.992 0.664
Se 0.416 0.306 0.083
Se 0.584 0.694 0.917
Se 0.595 0.008 0.336
Se 0.694 0.584 0.417
Se 0.797 0.945 0.892
Se 0.945 0.797 0.392
Se 0.992 0.405 0.164



<B>
The following is a DFT calculation (PBE) of a relaxed structure of KNbSe3.

Cell lengths 5.296, 5.296, 5.296 Å; angles 90.00, 90.00, 90.00 degrees
Positions (direct):
K 0.000 0.000 0.000
Nb 0.500 0.500 0.500
Se 0.000 0.000 0.500
Se 0.000 0.500 0.000
Se 0.500 0.000 0.000



Winner for stability: <A>



<A>
The following is a DFT calculation (PBE) of a relaxed structure of KNbSe3.

Cell lengths 7.349, 7.349, 6.073 Å; angles 91.35, 91.35, 60.01 degrees
Positions (direct):
K 0.166 0.166 0.250
K 0.834 0.834 0.750
Nb 0.500 0.500 0.000
Nb 0.500 0.500 0.500
Se 0.166 0.667 0.245
Se 0.333 0.333 0.741
Se 0.333 0.834 0.755
Se 0.667 0.166 0.245
Se 0.667 0.667 0.259
Se 0.834 0.333 0.755



<B>
The following is a DFT calculation (PBE) of a relaxed structure of KNbSe3.

Cell lengths 5.135, 5.135, 5.135 Å; angles 90.00, 90.00, 90.00 degrees
Positions (direct):
K 0.000 0.000 0.000
Nb 0.500 0.500 0.500
Se 0.000 0.500 0.500
Se 0.500 0.000 0.500
Se 0.500 0.500 0.000



Winner for stability: <A>



<A>
The following is a DFT calculation (PBE) of a relaxed structure of KNb2Se2.

Cell lengths 5.675, 5.675, 5.675 Å; angles 126.23, 126.23, 79.51 degrees
Positions (direct):
K 0.000 0.000 0.000
Nb 0.367 0.367 0.000
Nb 0.633 0.633 0.000
Se 0.250 0.750 0.500
Se 0.750 0.250 0.500



<B>
The following is a DFT calculation (PBE) of a relaxed structure of KNb2Se2.

Cell lengths 8.137, 8.137, 8.137 Å; angles 151.79, 151.79, 40.33 degrees
Positions (direct):
K 0.000 0.000 0.000
Nb 0.250 0.750 0.500
Nb 0.750 0.250 0.500
Se 0.369 0.369 0.000
Se 0.631 0.631 0.000



Winner for stability: <B>



<A>
The following is a DFT calculation (PBE) of a relaxed structure of K2NbSe4.

Cell lengths 9.030, 9.030, 9.030 Å; angles 146.88, 146.88, 47.54 degrees
Positions (direct):
K 0.144 0.144 0.000
K 0.856 0.856 0.000
Nb 0.500 0.500 0.000
Se 0.000 0.500 0.500
Se 0.346 0.346 0.000
Se 0.500 0.000 0.500
Se 0.654 0.654 0.000



<B>
The following is a DFT calculation (PBE) of a relaxed structure of K2NbSe4.

Cell lengths 7.201, 6.146, 11.887 Å; angles 90.00, 98.95, 90.00 degrees
Positions (direct):
K 0.232 0.250 0.456
K 0.235 0.250 0.918
K 0.765 0.750 0.082
K 0.768 0.750 0.544
Nb 0.323 0.750 0.239
Nb 0.677 0.250 0.761
Se 0.065 0.750 0.345
Se 0.229 0.750 0.036
Se 0.437 0.524 0.700
Se 0.437 0.976 0.700
Se 0.563 0.024 0.300
Se 0.563 0.476 0.300
Se 0.771 0.250 0.964
Se 0.935 0.250 0.655



Winner for stability: <B>



<A>
The following is a DFT calculation (PBE) of a relaxed structure of KNb4Se8.

Cell lengths 7.715, 7.715, 7.715 Å; angles 60.00, 60.00, 60.00 degrees
Positions (direct):
K 0.000 0.000 0.000
Nb 0.179 0.607 0.607
Nb 0.607 0.179 0.607
Nb 0.607 0.607 0.179
Nb 0.607 0.607 0.607
Se 0.371 0.371 0.371
Se 0.371 0.371 0.887
Se 0.371 0.887 0.371
Se 0.445 0.852 0.852
Se 0.852 0.445 0.852
Se 0.852 0.852 0.445
Se 0.852 0.852 0.852
Se 0.887 0.371 0.371



<B>
The following is a DFT calculation (PBE) of a relaxed structure of KNb4Se8.

Cell lengths 9.083, 9.083, 12.547 Å; angles 129.44, 129.44, 22.33 degrees
Positions (direct):
K 0.000 0.000 0.000
Nb 0.158 0.158 0.477
Nb 0.323 0.323 0.141
Nb 0.677 0.677 0.859
Nb 0.842 0.842 0.523
Se 0.037 0.037 0.740
Se 0.308 0.308 0.920
Se 0.345 0.345 0.685
Se 0.369 0.369 0.400
Se 0.631 0.631 0.600
Se 0.655 0.655 0.315
Se 0.692 0.692 0.080
Se 0.963 0.963 0.260



Winner for stability: <B>



<A>
The following is a DFT calculation (PBE) of a relaxed structure of KNb3Si.

Cell lengths 4.893, 4.893, 4.893 Å; angles 90.00, 90.00, 90.00 degrees
Positions (direct):
K 0.000 0.000 0.000
Nb 0.000 0.500 0.500
Nb 0.500 0.000 0.500
Nb 0.500 0.500 0.000
Si 0.500 0.500 0.500



<B>
The following is a DFT calculation (PBE) of a relaxed structure of KNb3Si.

Cell lengths 4.591, 4.591, 4.591 Å; angles 90.00, 90.00, 90.00 degrees
Positions (direct):
K 0.000 0.000 0.000
Nb 0.000 0.000 0.500
Nb 0.000 0.500 0.000
Nb 0.500 0.000 0.000
Si 0.500 0.500 0.500



Winner for stability: <A>



<A>
The following is a DFT calculation (PBE) of a relaxed structure of KNbSn2.

Cell lengths 9.745, 9.745, 9.745 Å; angles 141.88, 141.88, 55.01 degrees
Positions (direct):
K 0.000 0.000 0.000
K 0.750 0.250 0.500
Nb 0.250 0.750 0.500
Nb 0.500 0.500 0.000
Sn 0.334 0.625 0.209
Sn 0.375 0.584 0.709
Sn 0.416 0.125 0.791
Sn 0.875 0.666 0.291



<B>
The following is a DFT calculation (PBE) of a relaxed structure of KNbSn2.

Cell lengths 5.226, 5.226, 5.226 Å; angles 60.00, 60.00, 60.00 degrees
Positions (direct):
K 0.000 0.000 0.000
Nb 0.500 0.500 0.500
Sn 0.250 0.250 0.250
Sn 0.750 0.750 0.750



Winner for stability: <B>



<A>
The following is a DFT calculation (PBE) of a relaxed structure of KNb3Sn.

Cell lengths 4.694, 4.694, 4.694 Å; angles 90.00, 90.00, 90.00 degrees
Positions (direct):
K 0.000 0.000 0.000
Nb 0.000 0.000 0.500
Nb 0.000 0.500 0.000
Nb 0.500 0.000 0.000
Sn 0.500 0.500 0.500



<B>
The following is a DFT calculation (PBE) of a relaxed structure of KNb3Sn.

Cell lengths 5.247, 5.247, 5.247 Å; angles 90.00, 90.00, 90.00 degrees
Positions (direct):
K 0.000 0.000 0.000
Nb 0.000 0.500 0.500
Nb 0.500 0.000 0.500
Nb 0.500 0.500 0.000
Sn 0.500 0.500 0.500



Winner for stability: <B>



<A>
The following is a DFT calculation (PBE) of a relaxed structure of KSrNb.

Cell lengths 3.723, 3.723, 17.237 Å; angles 90.20, 90.20, 90.00 degrees
Positions (direct):
K 0.245 0.245 0.115
K 0.755 0.755 0.885
Sr 0.253 0.253 0.666
Sr 0.747 0.747 0.334
Nb 0.250 0.250 0.472
Nb 0.750 0.750 0.528



<B>
The following is a DFT calculation (PBE) of a relaxed structure of KSrNb.

Cell lengths 3.523, 8.096, 9.423 Å; angles 104.65, 98.82, 99.76 degrees
Positions (direct):
K 0.089 0.075 0.222
K 0.911 0.925 0.778
Sr 0.198 0.618 0.331
Sr 0.802 0.382 0.669
Nb 0.382 0.620 0.996
Nb 0.618 0.380 0.004



Winner for stability: <A>



<A>
The following is a DFT calculation (PBE) of a relaxed structure of KSrNb.

Cell lengths 4.103, 4.103, 14.518 Å; angles 90.00, 90.00, 90.00 degrees
Positions (direct):
K 0.250 0.250 0.230
K 0.750 0.750 0.770
Sr 0.250 0.750 0.500
Sr 0.750 0.250 0.500
Nb 0.250 0.250 0.992
Nb 0.750 0.750 0.008



<B>
The following is a DFT calculation (PBE) of a relaxed structure of KSrNb.

Cell lengths 10.676, 10.676, 3.572 Å; angles 90.22, 90.22, 35.20 degrees
Positions (direct):
K 0.000 0.000 0.000
K 0.207 0.207 0.494
Sr 0.603 0.603 0.994
Sr 0.829 0.829 0.496
Nb 0.365 0.365 0.996
Nb 0.453 0.453 0.494



Winner for stability: <B>



<A>
The following is a DFT calculation (PBE) of a relaxed structure of KSrNb.

Cell lengths 6.127, 6.127, 3.278 Å; angles 90.00, 90.00, 120.00 degrees
Positions (direct):
K 0.000 0.000 0.000
Sr 0.333 0.667 0.500
Nb 0.667 0.333 0.500



<B>
The following is a DFT calculation (PBE) of a relaxed structure of KSrNb.

Cell lengths 11.111, 11.111, 3.563 Å; angles 90.44, 90.44, 33.06 degrees
Positions (direct):
K 0.000 0.000 0.000
K 0.605 0.605 0.987
Sr 0.389 0.389 0.499
Sr 0.774 0.774 0.496
Nb 0.171 0.171 0.495
Nb 0.255 0.255 0.994



<C>
The following is a DFT calculation (PBE) of a relaxed structure of KSrNb.

Cell lengths 3.531, 7.417, 10.103 Å; angles 109.38, 94.70, 99.97 degrees
Positions (direct):
K 0.000 0.000 0.000
K 0.198 0.582 0.143
Sr 0.717 0.246 0.445
Sr 0.889 0.828 0.593
Nb 0.298 0.524 0.750
Nb 0.573 0.278 0.775



Winner for stability: <C>